A plane-wave DFT calculation with GGA-PBE was carried out for TlRe2Ru after structural relaxation.

Output
- Space group: Pmm2, No. 25
- ρ: 16868 kg/m3
- ΔE to the lowest computed polymorph: 120.4 meV per atom

a = 2.8566 Å, b = 3.9233 Å, c = 5.9544 Å
α = 90.00°, β = 90.00°, γ = 90.00°
Positions (direct):
Tl1 0.5000 0.5000 0.7390
Re1 0.0000 0.0000 0.0473
Re2 0.5000 0.5000 0.2359
Ru1 0.0000 0.0000 0.4777